1.
Here is a geometry-optimized Cu2IrCl structure from Alexandria via LeMat-Bulk. Energies are from GGA-PBE.

Values from the calculation:
Its formation energy from raw total energies is 0.633 eV per atom. For the total DFT energy (no corrections), the calculation gives -4.092 eV per atom. The calculation puts the theoretical density at 9.9 g/cm3. The calculation puts the density of states at the Fermi level at 0.283 states/eV per atom.

Cell lengths 5.4785, 5.4785, 5.4785 Å; angles 101.88, 101.88, 126.04 degrees
With the nearest neighbours (Å) after each atom.
Fractional positions:
Cu  0.1122  0.6250  0.9872  2 Cl 2.46, 2 Cu 2.49, 2 Ir 2.58
Cu  0.3750  0.3622  0.4872  2 Cl 2.46, 2 Cu 2.49, 2 Ir 2.58
Cu  0.6378  0.1250  0.0128  2 Cl 2.46, 2 Cu 2.49, 2 Ir 2.58
Cu  0.8750  0.8878  0.5128  2 Cl 2.46, 2 Cu 2.49, 2 Ir 2.58
Ir  0.2500  0.7500  0.5000  2 Cl 2.49, 4 Cu 2.58
Ir  0.5000  0.5000  0.0000  2 Cl 2.49, 4 Cu 2.58
Cl  0.0000  0.0000  0.0000  4 Cu 2.46, 2 Ir 2.49
Cl  0.7500  0.2500  0.5000  4 Cu 2.46, 2 Ir 2.49

---

2.
Here is a geometry-optimized K2CuIrCl6 structure from Alexandria via LeMat-Bulk. Energies are from GGA-PBE.

Values from the calculation:
Its formation energy from raw total energies is -1.011 eV per atom. For the total DFT energy (no corrections), the calculation gives -3.634 eV per atom. The calculation puts the theoretical density at 3.9 g/cm3. The calculation puts the density of states at the Fermi level at 0.099 states/eV per atom.

Cell lengths 6.9376, 9.7779, 6.9374 Å; angles 90.00, 90.00, 90.00 degrees
With the nearest neighbours (Å) after each atom.
Fractional positions:
K  0.2500  0.0000  0.2503  12 Cl 3.46-3.47
K  0.2500  0.5000  0.2503  12 Cl 3.46-3.47
K  0.7500  0.0000  0.7497  12 Cl 3.46-3.47
K  0.7500  0.5000  0.7497  12 Cl 3.46-3.47
Cu  0.2500  0.2500  0.7504  6 Cl 2.49-2.51
Cu  0.7500  0.7500  0.2496  6 Cl 2.49-2.51
Ir  0.2500  0.7500  0.7496  6 Cl 2.40
Ir  0.7500  0.2500  0.2504  6 Cl 2.40
Cl  0.0059  0.7500  0.5054  1 Ir 2.40, 1 Cu 2.51
Cl  0.0058  0.7500  0.9938  1 Ir 2.40, 1 Cu 2.51
Cl  0.2500  0.5050  0.7495  1 Ir 2.40, 1 Cu 2.49
Cl  0.2500  0.9950  0.7495  1 Ir 2.40, 1 Cu 2.49
Cl  0.4941  0.7500  0.5054  1 Ir 2.40, 1 Cu 2.51
Cl  0.4942  0.7500  0.9938  1 Ir 2.40, 1 Cu 2.51
Cl  0.5058  0.2500  0.0062  1 Ir 2.40, 1 Cu 2.51
Cl  0.5059  0.2500  0.4946  1 Ir 2.40, 1 Cu 2.51
Cl  0.7500  0.0050  0.2505  1 Ir 2.40, 1 Cu 2.49
Cl  0.7500  0.4950  0.2505  1 Ir 2.40, 1 Cu 2.49
Cl  0.9942  0.2500  0.0062  1 Ir 2.40, 1 Cu 2.51
Cl  0.9941  0.2500  0.4946  1 Ir 2.40, 1 Cu 2.51